i:
AcCdGe, optimized geometry, DFT PBE-GGA; total magnetic moment = 0.0 Bohr magnetons per cell; space group = F-43m, No. 216
1.0
0.000 3.578 3.578
3.578 0.000 3.578
3.578 3.578 0.000
Ac Cd Ge
1 1 1
Cartesian
0.000 0.000 0.000 Ac
3.578 3.578 3.578 Cd
5.367 5.367 5.367 Ge



ii:
AcCdGe, optimized geometry, DFT PBE-GGA; total magnetic moment = 0.0 Bohr magnetons per cell; space group = P-6m2, No. 187
1.0
4.622 0.000 0.000
-2.311 4.003 0.000
0.000 0.000 4.583
Ac Cd Ge
1 1 1
Cartesian
0.000 0.000 0.000 Ac
0.000 2.668 2.292 Cd
2.311 1.334 2.292 Ge



Stability, descending: ii, i



i:
AcCd2Ge, optimized geometry, DFT PBE-GGA; total magnetic moment = 0.0 Bohr magnetons per cell; space group = Cmcm, No. 63
1.0
2.211 -10.190 0.000
2.211 10.190 0.000
0.000 0.000 4.751
Ac Cd Ge
2 4 2
Cartesian
2.211 7.963 3.563 Ac
2.211 -7.963 1.188 Ac
2.211 5.091 1.188 Cd
2.211 0.668 3.563 Cd
2.211 -0.668 1.188 Cd
2.211 -5.091 3.563 Cd
2.211 3.365 3.563 Ge
2.211 -3.365 1.188 Ge



ii:
AcCd2Ge, optimized geometry, DFT PBE-GGA; total magnetic moment = 0.0 Bohr magnetons per cell; space group = R-3m, No. 166
1.0
2.362 1.364 5.782
-2.362 1.364 5.782
0.000 -2.727 5.782
Ac Cd Ge
1 2 1
Cartesian
0.000 0.000 0.000 Ac
0.000 0.000 3.812 Cd
0.000 0.000 13.535 Cd
0.000 0.000 8.673 Ge



Stability, descending: i, ii



i:
AcCd2Ge, optimized geometry, DFT PBE-GGA; total magnetic moment = 0.0 Bohr magnetons per cell; space group = Cmmm, No. 65
1.0
3.033 -3.917 0.000
3.033 3.917 0.000
0.000 0.000 4.809
Ac Cd Ge
1 2 1
Cartesian
0.000 0.000 0.000 Ac
3.033 1.495 2.405 Cd
3.033 -1.495 2.405 Cd
3.033 0.000 0.000 Ge



ii:
AcCd2Ge, optimized geometry, DFT PBE-GGA; total magnetic moment = 0.0 Bohr magnetons per cell; space group = P4/mmm, No. 123
1.0
4.568 0.000 0.000
0.000 4.568 0.000
0.000 0.000 5.253
Ac Cd Ge
1 2 1
Cartesian
0.000 0.000 0.000 Ac
0.000 2.284 2.627 Cd
2.284 0.000 2.627 Cd
2.284 2.284 0.000 Ge



iii:
AcCd2Ge, optimized geometry, DFT PBE-GGA; total magnetic moment = 0.0 Bohr magnetons per cell; space group = P4/mmm, No. 123
1.0
3.895 0.000 0.000
0.000 3.895 0.000
0.000 0.000 7.126
Ac Cd Ge
1 2 1
Cartesian
0.000 0.000 0.000 Ac
1.948 1.948 2.113 Cd
1.948 1.948 5.013 Cd
0.000 0.000 3.563 Ge



Stability, descending: ii, i, iii



i:
Ac2Cd3Ge2, optimized geometry, DFT PBE-GGA; total magnetic moment = 0.0 Bohr magnetons per cell; space group = C2/m, No. 12
1.0
5.617 -2.405 0.000
5.617 2.405 0.000
-2.267 0.000 6.933
Ac Cd Ge
2 3 2
Cartesian
1.020 0.000 1.904 Ac
7.947 0.000 5.029 Ac
4.269 0.000 0.507 Cd
4.483 0.000 3.466 Cd
4.697 0.000 6.425 Cd
0.072 0.000 5.189 Ge
8.895 0.000 1.744 Ge



ii:
Ac2Cd3Ge2, optimized geometry, DFT PBE-GGA; total magnetic moment = 0.0 Bohr magnetons per cell; space group = Cmmm, No. 65
1.0
2.046 -11.051 0.000
2.046 11.051 0.000
0.000 0.000 4.410
Ac Cd Ge
2 3 2
Cartesian
2.046 7.401 0.000 Ac
2.046 -7.401 0.000 Ac
0.000 0.000 0.000 Cd
2.046 1.470 2.205 Cd
2.046 -1.470 2.205 Cd
2.046 4.737 2.205 Ge
2.046 -4.737 2.205 Ge



Stability, descending: i, ii



i:
Ac3Cd2Ge3, optimized geometry, DFT PBE-GGA; total magnetic moment = 0.0 Bohr magnetons per cell; space group = Immm, No. 71
1.0
-2.145 2.388 11.279
2.145 -2.388 11.279
2.145 2.388 -11.279
Ac Cd Ge
3 2 3
Cartesian
0.000 0.000 0.000 Ac
2.145 0.000 8.375 Ac
0.000 2.388 2.904 Ac
0.000 0.000 5.600 Cd
0.000 0.000 16.958 Cd
2.145 0.000 3.657 Ge
0.000 0.000 11.279 Ge
0.000 2.388 7.622 Ge



ii:
Ac3Cd2Ge3, optimized geometry, DFT PBE-GGA; total magnetic moment = 0.0 Bohr magnetons per cell; space group = P6_3/mcm, No. 193
1.0
9.300 0.000 0.000
-4.650 8.054 0.000
0.000 0.000 6.544
Ac Cd Ge
6 4 6
Cartesian
-1.444 2.501 1.636 Ac
-3.206 5.553 4.908 Ac
2.888 0.000 1.636 Ac
1.444 2.501 4.908 Ac
6.412 0.000 4.908 Ac
3.206 5.553 1.636 Ac
0.000 5.370 0.000 Cd
0.000 5.370 3.272 Cd
4.650 2.685 0.000 Cd
4.650 2.685 3.272 Cd
-1.662 2.879 4.908 Ge
-2.988 5.175 1.636 Ge
3.325 0.000 4.908 Ge
1.662 2.879 1.636 Ge
5.976 0.000 1.636 Ge
2.988 5.175 4.908 Ge



Stability, descending: ii, i



i:
AcCd4Ge, optimized geometry, DFT PBE-GGA; total magnetic moment = 0.0 Bohr magnetons per cell; space group = Cmcm, No. 63
1.0
2.300 -8.696 0.000
2.300 8.696 0.000
0.000 0.000 7.667
Ac Cd Ge
2 8 2
Cartesian
2.300 6.493 5.750 Ac
2.300 -6.493 1.917 Ac
2.300 7.578 1.917 Cd
2.300 2.985 4.271 Cd
2.300 2.985 7.229 Cd
2.300 0.000 0.000 Cd
2.300 0.000 3.833 Cd
2.300 -2.985 0.438 Cd
2.300 -2.985 3.396 Cd
2.300 -7.578 5.750 Cd
2.300 4.674 1.917 Ge
2.300 -4.674 5.750 Ge



ii:
AcCd4Ge, optimized geometry, DFT PBE-GGA; total magnetic moment = 0.0 Bohr magnetons per cell; space group = F-43m, No. 216
1.0
0.000 4.271 4.271
4.271 0.000 4.271
4.271 4.271 0.000
Ac Cd Ge
1 4 1
Cartesian
0.000 0.000 0.000 Ac
3.212 3.212 3.212 Cd
5.329 5.329 3.212 Cd
5.329 3.212 5.329 Cd
3.212 5.329 5.329 Cd
6.406 6.406 6.406 Ge



Stability, descending: i, ii